1.
# YTeP2O (PBE, optimized geometry)
data_YTeP2O
_space_group_name_H-M_alt 'P 4/m m m'
_space_group_IT_number 123
_space_group_name_Hall '-P 4 2'
_cell_length_a 4.490
_cell_length_b 4.490
_cell_length_c 4.549
_cell_angle_alpha 90.00
_cell_angle_beta 90.00
_cell_angle_gamma 90.00
loop_
_atom_site_label
_atom_site_type_symbol
_atom_site_fract_x
_atom_site_fract_y
_atom_site_fract_z
Y1 Y 0.000 0.000 0.000
Te1 Te 0.500 0.500 0.000
P1 P 0.000 0.500 0.500
O1 O 0.500 0.500 0.500
# - distance to the lowest polymorph of the same formula (meV per atom) = 0
# - uncorrected formation energy (eV/atom) = -0.32
# - N(E_F) (states/eV per cell) = 2.07
# - V (Å³/atom) = 18.35

---

2.
# LaZnCl (PBE, optimized geometry)
data_LaZnCl
_space_group_name_H-M_alt 'F -4 3 m'
_space_group_IT_number 216
_space_group_name_Hall 'F -4 2 3'
_cell_length_a 6.823
_cell_length_b 6.823
_cell_length_c 6.823
_cell_angle_alpha 90.00
_cell_angle_beta 90.00
_cell_angle_gamma 90.00
loop_
_atom_site_label
_atom_site_type_symbol
_atom_site_fract_x
_atom_site_fract_y
_atom_site_fract_z
La1 La 0.000 0.000 0.000
Zn1 Zn 0.000 0.000 0.500
Cl1 Cl 0.250 0.250 0.750
# - distance to the lowest polymorph of the same formula (meV per atom) = 486
# - uncorrected formation energy (eV/atom) = -0.73
# - N(E_F) (states/eV per cell) = 8.31
# - V (Å³/atom) = 26.47

---

3.
# NdGa2CoNi (PBE, optimized geometry)
data_NdGa2CoNi
_space_group_name_H-M_alt 'I -4 m 2'
_space_group_IT_number 119
_space_group_name_Hall 'I -4 -2'
_cell_length_a 4.076
_cell_length_b 4.076
_cell_length_c 10.316
_cell_angle_alpha 90.00
_cell_angle_beta 90.00
_cell_angle_gamma 90.00
loop_
_atom_site_label
_atom_site_type_symbol
_atom_site_fract_x
_atom_site_fract_y
_atom_site_fract_z
Nd1 Nd 0.000 0.000 0.000
Ga1 Ga 0.000 0.000 0.370
Co1 Co 0.000 0.500 0.750
Ni1 Ni 0.000 0.500 0.250
# - N(E_F) (states/eV per cell) = 8.35
# - V (Å³/atom) = 17.14
# - E (eV/atom) = -5.200